Record 1
## Ac5CoAg2N (GGA-PBE)

Data for a geometry-optimized Ac5CoAg2N structure.

Properties
M_tot = 0.0 μB/f.u.
ΔE_f (raw) = -0.3672 eV/atom
Space group = Cmc2_1 (36)

Cell lengths 9.788, 9.788, 14.219 Å; angles 90.00, 90.00, 155.10 degrees
Atoms (fractional coordinates):
Ac 0.003 0.997 0.500
Ac 0.149 0.851 0.727
Ac 0.187 0.813 0.104
Ac 0.213 0.787 0.383
Ac 0.454 0.546 0.735
Ac 0.546 0.454 0.235
Ac 0.787 0.213 0.883
Ac 0.813 0.187 0.604
Ac 0.851 0.149 0.227
Ac 0.997 0.003 0.000
Co 0.292 0.708 0.746
Co 0.708 0.292 0.246
Ag 0.368 0.632 0.042
Ag 0.388 0.612 0.405
Ag 0.612 0.388 0.905
Ag 0.632 0.368 0.542
N 0.057 0.943 0.145
N 0.943 0.057 0.645

=====

Record 2
## TbNd2InC (GGA-PBE)

Data for a geometry-optimized TbNd2InC structure.

Properties
M_tot = 0.0 μB/f.u.
Space group = P4/mmm (123)
ΔE_f = -176 kJ/mol of formula units

Cell lengths 5.134, 5.134, 4.962 Å; angles 90.00, 90.00, 90.00 degrees
Atoms (fractional coordinates):
Tb 0.000 0.000 0.000
Nd 0.000 0.500 0.500
Nd 0.500 0.000 0.500
In 0.500 0.500 0.000
C 0.000 0.000 0.500